The following is a PBE-GGA calculation of crystalline K2TeOF5 at its relaxed geometry, from Alexandria.

formation energy (no corrections)	-2.180	eV per atom
total magnetization	1.8	μB per cell
calculated total energy	-39.3	eV/f.u.

a b c (Å): 5.9448 5.9448 9.4503
angles (deg): 90.00 90.00 90.00
Last column: nearest neighbours and their distance in Å.
Space group I4mm (No. 107)
Unique sites:
K1 0.0000 0.5000 0.0000 (multiplicity 4)  6 F 2.98-2.99, 2 O 3.02
Te1 0.0000 0.0000 0.2540 (multiplicity 2)  1 O 1.85, 4 F 2.03
O1 0.0000 0.0000 0.0581 (multiplicity 2)  1 Te 1.85
F1 0.0000 0.0000 0.4832 (multiplicity 2)  1 Te 2.17
F2 0.2402 0.2402 0.2753 (multiplicity 8)  1 Te 2.03